Entry 1:
Density functional theory data (PBE) for a relaxed Cd2SbI crystal.

Cell: 8.449 9.432 7.877 Å, 90.00 90.00 90.00°
Fractional positions:
Cd  0.055  0.097  0.000
Cd  0.076  0.652  0.940
Cd  0.424  0.152  0.440
Cd  0.445  0.597  0.500
Cd  0.555  0.403  0.000
Cd  0.576  0.848  0.940
Cd  0.924  0.348  0.440
Cd  0.945  0.903  0.500
Sb  0.110  0.121  0.345
Sb  0.390  0.621  0.845
Sb  0.610  0.379  0.345
Sb  0.890  0.879  0.845
I  0.093  0.627  0.342
I  0.407  0.127  0.842
I  0.593  0.873  0.342
I  0.907  0.373  0.842

Computed properties:
Relative energy among the computed polymorphs: 1 meV/atom
SG: No. 33

=====

Entry 2:
Density functional theory data (PBE) for a relaxed Rb4BiO crystal.

Cell: 8.348 8.348 7.791 Å, 92.25 92.25 113.81°
Fractional positions:
Rb  0.051  0.799  0.953
Rb  0.191  0.371  0.679
Rb  0.201  0.949  0.547
Rb  0.371  0.191  0.179
Rb  0.629  0.809  0.821
Rb  0.799  0.051  0.453
Rb  0.809  0.629  0.321
Rb  0.949  0.201  0.047
Bi  0.351  0.649  0.250
Bi  0.649  0.351  0.750
O  0.028  0.972  0.250
O  0.972  0.028  0.750

Computed properties:
Relative energy among the computed polymorphs: 65 meV/atom
SG: No. 15

=====

Entry 3:
Density functional theory data (PBE) for a relaxed MnTlH2 crystal.

Cell: 4.160 4.160 4.160 Å, 60.00 60.00 60.00°
Fractional positions:
Mn  0.000  0.000  0.000
Tl  0.500  0.500  0.500
H  0.250  0.250  0.250
H  0.750  0.750  0.750

Computed properties:
Relative energy among the computed polymorphs: 582 meV/atom
SG: No. 225

=====

Entry 4:
Density functional theory data (PBE) for a relaxed TcHg2Cl crystal.

Cell: 7.626 7.626 7.626 Å, 157.91 148.16 39.09°
Fractional positions:
Tc  0.000  0.000  0.000
Hg  0.181  0.681  0.500
Hg  0.819  0.319  0.500
Cl  0.500  0.500  0.000

Computed properties:
Relative energy among the computed polymorphs: 216 meV/atom
SG: No. 71

=====

Entry 5:
Density functional theory data (PBE) for a relaxed HfAu6 crystal.

Cell: 6.390 6.390 6.390 Å, 109.47 109.47 109.47°
Fractional positions:
Hf  0.000  0.000  0.000
Au  0.250  0.500  0.750
Au  0.250  0.750  0.500
Au  0.500  0.250  0.750
Au  0.500  0.750  0.250
Au  0.750  0.250  0.500
Au  0.750  0.500  0.250

Computed properties:
SG: No. 229
Calculated total energy: -22.37 eV for the cell shown

=====

Entry 6:
Density functional theory data (PBE) for a relaxed Ru2BrCl crystal.

Cell: 7.795 7.795 3.789 Å, 103.85 103.85 22.16°
Fractional positions:
Ru  0.000  0.000  0.000
Ru  0.639  0.639  0.137
Br  0.208  0.208  0.705
Cl  0.448  0.448  0.449

Computed properties:
Relative energy among the computed polymorphs: 499 meV/atom
SG: No. 8

=====

Entry 7:
Density functional theory data (PBE) for a relaxed ZrTlCuI6 crystal.

Cell: 7.496 7.496 15.331 Å, 90.00 90.00 120.00°
Fractional positions:
Zr  0.333  0.667  0.250
Zr  0.667  0.333  0.750
Tl  0.000  0.000  0.000
Tl  0.000  0.000  0.500
Cu  0.333  0.667  0.750
Cu  0.667  0.333  0.250
I  0.001  0.370  0.643
I  0.001  0.630  0.857
I  0.370  0.001  0.143
I  0.370  0.370  0.357
I  0.370  0.370  0.857
I  0.370  0.999  0.643
I  0.630  0.001  0.357
I  0.630  0.630  0.143
I  0.630  0.630  0.643
I  0.630  0.999  0.857
I  0.999  0.370  0.143
I  0.999  0.630  0.357

Computed properties:
SG: No. 163
Calculated total energy: -59.75 eV for the cell shown

=====

Entry 8:
Density functional theory data (PBE) for a relaxed BaTmCd2 crystal.

Cell: 10.519 10.519 10.519 Å, 21.01 21.01 21.01°
Fractional positions:
Ba  0.000  0.000  0.000
Tm  0.500  0.500  0.500
Cd  0.240  0.240  0.240
Cd  0.760  0.760  0.760

Computed properties:
Relative energy among the computed polymorphs: 231 meV/atom
SG: No. 166

=====

Entry 9:
Density functional theory data (PBE) for a relaxed PmPr2Y2Er2 crystal.

Cell: 6.173 6.173 11.909 Å, 107.83 107.83 33.31°
Fractional positions:
Pm  0.000  0.000  0.000
Pr  0.328  0.328  0.415
Pr  0.672  0.672  0.585
Y  0.452  0.452  0.730
Y  0.548  0.548  0.270
Er  0.227  0.227  0.865
Er  0.773  0.773  0.135

Computed properties:
SG: No. 12
Calculated total energy: -35.77 eV for the cell shown

=====

Entry 10:
Density functional theory data (PBE) for a relaxed PmSc2Cd crystal.

Cell: 5.223 5.223 5.223 Å, 60.00 60.00 60.00°
Fractional positions:
Pm  0.000  0.000  0.000
Sc  0.250  0.250  0.250
Sc  0.750  0.750  0.750
Cd  0.500  0.500  0.500

Computed properties:
Relative energy among the computed polymorphs: 142 meV/atom
SG: No. 225

=====

Entry 11:
Density functional theory data (PBE) for a relaxed TaCr2RhC crystal.

Cell: 3.923 3.923 4.042 Å, 90.00 90.00 90.00°
Fractional positions:
Ta  0.000  0.000  0.000
Cr  0.000  0.500  0.500
Cr  0.500  0.000  0.500
Rh  0.500  0.500  0.000
C  0.500  0.500  0.500

Computed properties:
SG: No. 123
Calculated total energy: -47.93 eV for the cell shown

=====

Entry 12:
Density functional theory data (PBE) for a relaxed LiTb2Ti crystal.

Cell: 3.439 3.439 8.533 Å, 90.00 90.00 90.00°
Fractional positions:
Li  0.000  0.000  0.000
Tb  0.500  0.500  0.266
Tb  0.500  0.500  0.734
Ti  0.000  0.000  0.500

Computed properties:
SG: No. 123
Calculated total energy: -18.46 eV for the cell shown